Entry P
{
  "formula": "ZnTeH2",
  "functional": "PBE",
  "state": "relaxed",
  "magmom_total_mub_per_cell": 0.000,
  "mass_density_g_cm3": 5.54,
  "dos_ef_per_ev_cell": 3.70,
  "lattice_angstrom": [[-2.973, -4.567, -0.258], [3.639, -2.175, -3.434], [2.328, -4.842, 1.199]],
  "species": ["H", "H", "H", "H", "Zn", "Zn", "Te", "Te"],
  "fractional_positions": [[0.374, 0.125, 0.250], [0.376, 0.625, 0.250], [0.375, 0.626, 0.750], [0.875, 0.624, 0.750], [0.500, 0.500, 0.000], [0.250, 0.750, 0.500], [0.000, 0.000, 0.000], [0.750, 0.250, 0.500]]
}

=====

Entry Q
{
  "formula": "ZnTeH2",
  "functional": "PBE",
  "state": "relaxed",
  "magmom_total_mub_per_cell": 0.000,
  "mass_density_g_cm3": 3.35,
  "dos_ef_per_ev_cell": 0.27,
  "lattice_angstrom": [[-4.749, -0.582, 3.638], [1.655, -2.046, 1.724], [2.639, 3.770, 2.433]],
  "species": ["Zn", "Te", "H", "H"],
  "fractional_positions": [[0.066, 0.137, 0.801], [0.145, 0.136, 0.318], [0.586, 0.646, 0.762], [0.653, 0.621, 0.901]]
}

=====

Entry R
{
  "formula": "ZnTeH2",
  "functional": "PBE",
  "state": "relaxed",
  "magmom_total_mub_per_cell": 0.000,
  "mass_density_g_cm3": 6.48,
  "dos_ef_per_ev_cell": 1.05,
  "lattice_angstrom": [[1.237, -3.578, 1.662], [1.680, -0.053, 3.777], [-2.089, -1.639, 3.169]],
  "species": ["H", "H", "Zn", "Te"],
  "fractional_positions": [[0.250, 0.250, 0.250], [0.750, 0.750, 0.750], [0.000, 0.000, 0.000], [0.500, 0.500, 0.500]]
}

=====

Relative to the most stable one, in eV/atom, the structures come out at entry P 0.257; entry Q 0.000; entry R 0.623.